No. 1
BePOs: relaxed, PBE.

```
BePOs
1.0
3.894 0.000 0.000
-1.947 3.372 0.000
0.000 0.000 2.971
Be P Os
1 1 1
Cartesian
0.000 0.000 0.000 Be
0.000 2.248 1.485 P
1.947 1.124 1.485 Os
```

Calculated values
Total DFT energy (no corrections) = -6.67 eV/atom
SG = P-6m2 (187)
Theoretical density = 9.8 g/cm³

=====

No. 2
LiPmMgIr: relaxed, PBE.

```
LiPmMgIr
1.0
0.000 3.408 3.408
3.408 0.000 3.408
3.408 3.408 0.000
Li Pm Mg Ir
1 1 1 1
Cartesian
0.000 0.000 0.000 Li
1.704 1.704 1.704 Pm
5.112 5.112 5.112 Mg
3.408 3.408 3.408 Ir
```

Calculated values
Total DFT energy (no corrections) = -4.65 eV/atom
SG = F-43m (216)
Theoretical density = 7.7 g/cm³

=====

No. 3
Ac3BiRh: relaxed, PBE.

```
Ac3BiRh
1.0
5.754 0.000 0.000
0.000 5.754 0.000
0.000 0.000 5.754
Ac Bi Rh
3 1 1
Cartesian
0.000 0.000 2.877 Ac
0.000 2.877 0.000 Ac
2.877 0.000 0.000 Ac
2.877 2.877 2.877 Bi
0.000 0.000 0.000 Rh
```

Calculated values
Total DFT energy (no corrections) = -5.28 eV/atom
SG = Pm-3m (221)
Theoretical density = 8.7 g/cm³

=====

No. 4
NaSrAs2Cl: relaxed, PBE.

```
NaSrAs2Cl
1.0
5.991 0.000 0.000
0.000 5.991 0.000
0.000 0.000 5.592
Na Sr As Cl
1 1 2 1
Cartesian
0.000 0.000 0.000 Na
2.996 2.996 2.796 Sr
0.000 2.996 2.796 As
2.996 0.000 2.796 As
2.996 2.996 0.000 Cl
```

Calculated values
Total DFT energy (no corrections) = -2.99 eV/atom
SG = P4/mmm (123)
Theoretical density = 2.4 g/cm³
E_form (uncorrected) = -0.81 eV/f.u.

=====

No. 5
Nd2TiGe3Rh4: relaxed, PBE.

```
Nd2TiGe3Rh4
1.0
4.168 0.000 0.000
0.000 4.168 0.000
0.000 0.000 10.677
Nd Ti Ge Rh
2 1 3 4
Cartesian
0.000 2.084 2.598 Nd
2.084 0.000 8.079 Nd
0.000 0.000 5.338 Ti
0.000 2.084 9.314 Ge
2.084 0.000 1.363 Ge
2.084 2.084 5.338 Ge
0.000 0.000 0.000 Rh
0.000 2.084 6.817 Rh
2.084 0.000 3.860 Rh
2.084 2.084 0.000 Rh
```

Calculated values
Total DFT energy (no corrections) = -6.95 eV/atom
SG = P-4m2 (115)
Theoretical density = 8.6 g/cm³

=====

No. 6
Rb2LiTaF6: relaxed, PBE.

```
Rb2LiTaF6
1.0
0.000 4.259 4.259
4.259 0.000 4.259
4.259 4.259 0.000
Rb Li Ta F
2 1 1 6
Cartesian
2.129 2.129 2.129 Rb
6.388 6.388 6.388 Rb
0.000 0.000 0.000 Li
4.259 4.259 4.259 Ta
4.259 4.259 2.152 F
4.259 2.152 4.259 F
6.366 4.259 4.259 F
2.152 4.259 4.259 F
4.259 6.366 4.259 F
4.259 4.259 6.366 F
```

Calculated values
Total DFT energy (no corrections) = -5.40 eV/atom
SG = Fm-3m (225)
Theoretical density = 5.1 g/cm³
E_form (uncorrected) = -27.09 eV/f.u.